5
Lattice="5.011 0.000 0.000 0.000 5.011 0.000 0.000 0.000 5.011" Properties=species:S:1:pos:R:3 comment="GeOs3Pb GGA-PBE relaxed" e_above_lowest_polymorph_mev_per_atom=1451 crystal_system=cubic sg="Pm-3m (221)" total_energy_ev_per_atom=-5.319 e_form_ev_per_atom=3.084 pbc="T T T"
Ge 0.000 0.000 0.000
Os 0.000 2.506 2.506
Os 2.506 0.000 2.506
Os 2.506 2.506 0.000
Pb 2.506 2.506 2.506

=====

5
Lattice="4.879 0.000 0.000 0.000 4.879 0.000 0.000 0.000 4.879" Properties=species:S:1:pos:R:3 comment="Ge3OsPb GGA-PBE relaxed" e_above_lowest_polymorph_mev_per_atom=0 crystal_system=cubic sg="Pm-3m (221)" total_energy_ev_per_atom=-5.378 e_form_ev_per_atom=0.380 pbc="T T T"
Ge 0.000 0.000 2.439
Ge 0.000 2.439 0.000
Ge 2.439 0.000 0.000
Os 0.000 0.000 0.000
Pb 2.439 2.439 2.439

=====

4
Lattice="0.000 3.219 3.219 3.219 0.000 3.219 3.219 3.219 0.000" Properties=species:S:1:pos:R:3 comment="GeOs2Pb GGA-PBE relaxed" e_above_lowest_polymorph_mev_per_atom=0 crystal_system=cubic sg="Fm-3m (225)" total_energy_ev_per_atom=-6.922 e_form_ev_per_atom=0.775 pbc="T T T"
Ge 0.000 0.000 0.000
Os 1.609 1.609 1.609
Os 4.828 4.828 4.828
Pb 3.219 3.219 3.219

=====

5
Lattice="5.199 0.000 0.000 0.000 5.199 0.000 0.000 0.000 5.053" Properties=species:S:1:pos:R:3 comment="GeOsPdPb2 GGA-PBE relaxed" crystal_system=tetragonal sg="P4/mmm (123)" total_energy_ev_per_atom=-4.486 e_form_ev_per_atom=1.205 pbc="T T T"
Ge 0.000 0.000 0.000
Os 2.599 2.599 0.000
Pd 2.599 2.599 2.527
Pb 0.000 2.599 2.527
Pb 2.599 0.000 2.527